# Pm9PrPb2, relaxed, DFT PBE
# Raw total energy = -4.780 eV per atom
# Size of the total moment = 0.00 μB/cell
# Calculated formation energy = -0.2011 eV per atom
data_Pm9PrPb2
_chemical_formula_sum 'Pm9 Pr1 Pb2'
_symmetry_space_group_name_H-M 'P 4/m m m'
_symmetry_Int_Tables_number 123
_symmetry_space_group_name_Hall '-P 4 2'
_cell_length_a 4.9900
_cell_length_b 4.9900
_cell_length_c 15.4679
_cell_angle_alpha 90.00
_cell_angle_beta 90.00
_cell_angle_gamma 90.00
loop_
_atom_site_label
_atom_site_type_symbol
_atom_site_fract_x
_atom_site_fract_y
_atom_site_fract_z
Pm1 Pm 0.0000 0.0000 0.0000
Pm2 Pm 0.0000 0.0000 0.3402
Pm3 Pm 0.0000 0.5000 0.1755
Pm4 Pm 0.0000 0.5000 0.5000
Pr1 Pr 0.5000 0.5000 0.0000
Pb1 Pb 0.5000 0.5000 0.3378